## w
# RbTl2I4 | Alexandria | PBE | optimized geometry
# D(E_F), states/eV/cell: 31.1
data_RbTl2I4
_space_group_name_H-M_alt 'I 41/a m d'
_space_group_IT_number 141
_cell_length_a 11.1149
_cell_length_b 11.1149
_cell_length_c 10.8577
_cell_angle_alpha 90.00
_cell_angle_beta 90.00
_cell_angle_gamma 90.00
loop_
_space_group_symop_operation_xyz
'x,y,z'
'-x,-y,-z'
'-y+1/4,x+3/4,z+1/4'
'y+1/4,-x+3/4,-z+1/4'
'-x+1/2,-y,z+1/2'
'x+1/2,y,-z+1/2'
'y+1/4,-x+1/4,z+3/4'
'-y+1/4,x+1/4,-z+3/4'
'x,-y,-z'
'-x,y,z'
'-y+1/4,-x+1/4,-z+3/4'
'y+1/4,x+1/4,z+3/4'
'-x+1/2,y,-z+1/2'
'x+1/2,-y,z+1/2'
'y+1/4,x+3/4,-z+1/4'
'-y+1/4,-x+3/4,z+1/4'
'x+1/2,y+1/2,z+1/2'
'-x+1/2,-y+1/2,-z+1/2'
'-y+3/4,x+1/4,z+3/4'
'y+3/4,-x+1/4,-z+3/4'
'-x,-y+1/2,z'
'x,y+1/2,-z'
'y+3/4,-x+3/4,z+1/4'
'-y+3/4,x+3/4,-z+1/4'
'x+1/2,-y+1/2,-z+1/2'
'-x+1/2,y+1/2,z+1/2'
'-y+3/4,-x+3/4,-z+1/4'
'y+3/4,x+3/4,z+1/4'
'-x,y+1/2,-z'
'x,-y+1/2,z'
'y+3/4,x+1/4,-z+3/4'
'-y+3/4,-x+1/4,z+3/4'
loop_
_atom_site_label
_atom_site_fract_x
_atom_site_fract_y
_atom_site_fract_z
Rb1 0.0000 0.2500 0.3750
Tl1 0.0000 0.0000 0.0000
I1 0.0000 0.0677 0.6997

## x
# RbTl2I4 | Alexandria | PBE | optimized geometry
# D(E_F), states/eV/cell: 2.9
data_RbTl2I4
_space_group_name_H-M_alt 'P -4 2 m'
_space_group_IT_number 111
_space_group_name_Hall 'P -4 2'
_cell_length_a 8.0702
_cell_length_b 8.0702
_cell_length_c 7.1917
_cell_angle_alpha 90.00
_cell_angle_beta 90.00
_cell_angle_gamma 90.00
loop_
_atom_site_label
_atom_site_fract_x
_atom_site_fract_y
_atom_site_fract_z
Rb1 0.0000 0.0000 0.0000
Tl1 0.0000 0.5000 0.5000
I1 0.2550 0.2550 0.2981

Tell me which of them is the least stable. Sure, it is x.